Entry 1:
First-principles (GGA-PBE) data for an optimized crystal structure of Cs2RbV2Cl7, as listed in Alexandria via LeMat-Bulk.

Structure (CIF):
```
data_Cs2RbV2Cl7
_chemical_formula_sum 'Cs4 Rb2 V4 Cl14'
_cell_length_a 5.068
_cell_length_b 5.068
_cell_length_c 27.097
_cell_angle_alpha 90.00
_cell_angle_beta 90.00
_cell_angle_gamma 90.00
_symmetry_space_group_name_H-M 'I 4/m m m'
_symmetry_Int_Tables_number 139
_symmetry_space_group_name_Hall '-I 4 2'
loop_
_atom_site_label
_atom_site_fract_x
_atom_site_fract_y
_atom_site_fract_z
_atom_site_occupancy
Cs1 0.000 0.000 0.182 1
Rb1 0.000 0.000 0.000 1
V1 0.000 0.000 0.406 1
Cl1 0.000 0.000 0.315 1
Cl2 0.000 0.000 0.500 1
Cl3 0.000 0.500 0.090 1
```

Computed properties:
- Crystal system: tetragonal
- Uncorrected formation energy: -1.54 eV/atom
- Raw total energy: -4.36 eV/atom

Entry 2:
First-principles (GGA-PBE) data for an optimized crystal structure of Cs2RbVCl6, as listed in Alexandria via LeMat-Bulk.

Structure (CIF):
```
data_Cs2RbVCl6
_chemical_formula_sum 'Cs8 Rb4 V4 Cl24'
_cell_length_a 11.066
_cell_length_b 11.066
_cell_length_c 11.066
_cell_angle_alpha 90.00
_cell_angle_beta 90.00
_cell_angle_gamma 90.00
_symmetry_space_group_name_H-M 'F m -3 m'
_symmetry_Int_Tables_number 225
_symmetry_space_group_name_Hall '-F 4 2 3'
loop_
_atom_site_label
_atom_site_fract_x
_atom_site_fract_y
_atom_site_fract_z
_atom_site_occupancy
Cs1 0.250 0.250 0.250 1
Rb1 0.000 0.000 0.000 1
V1 0.000 0.000 0.500 1
Cl1 0.000 0.000 0.283 1
```

Computed properties:
- Crystal system: cubic
- Uncorrected formation energy: -1.70 eV/atom
- Raw total energy: -3.99 eV/atom

Entry 3:
First-principles (GGA-PBE) data for an optimized crystal structure of CsRb2WCl6, as listed in Alexandria via LeMat-Bulk.

Structure (CIF):
```
data_CsRb2WCl6
_chemical_formula_sum 'Cs4 Rb8 W4 Cl24'
_cell_length_a 11.357
_cell_length_b 11.357
_cell_length_c 11.357
_cell_angle_alpha 90.00
_cell_angle_beta 90.00
_cell_angle_gamma 90.00
_symmetry_space_group_name_H-M 'F m -3 m'
_symmetry_Int_Tables_number 225
_symmetry_space_group_name_Hall '-F 4 2 3'
loop_
_atom_site_label
_atom_site_fract_x
_atom_site_fract_y
_atom_site_fract_z
_atom_site_occupancy
Cs1 0.000 0.000 0.000 1
Rb1 0.250 0.250 0.250 1
W1 0.000 0.000 0.500 1
Cl1 0.000 0.000 0.284 1
```

Computed properties:
- Crystal system: cubic
- Uncorrected formation energy: -1.39 eV/atom
- Raw total energy: -4.08 eV/atom

Entry 4:
First-principles (GGA-PBE) data for an optimized crystal structure of Cs2RbWCl6, as listed in Alexandria via LeMat-Bulk.

Structure (CIF):
```
data_Cs2RbWCl6
_chemical_formula_sum 'Cs8 Rb4 W4 Cl24'
_cell_length_a 11.165
_cell_length_b 11.165
_cell_length_c 11.165
_cell_angle_alpha 90.00
_cell_angle_beta 90.00
_cell_angle_gamma 90.00
_symmetry_space_group_name_H-M 'F m -3 m'
_symmetry_Int_Tables_number 225
_symmetry_space_group_name_Hall '-F 4 2 3'
loop_
_atom_site_label
_atom_site_fract_x
_atom_site_fract_y
_atom_site_fract_z
_atom_site_occupancy
Cs1 0.250 0.250 0.250 1
Rb1 0.000 0.000 0.000 1
W1 0.000 0.000 0.500 1
Cl1 0.000 0.000 0.280 1
```

Computed properties:
- Crystal system: cubic
- Uncorrected formation energy: -1.46 eV/atom
- Raw total energy: -4.13 eV/atom

Entry 5:
First-principles (GGA-PBE) data for an optimized crystal structure of CsRbWCl6, as listed in Alexandria via LeMat-Bulk.

Structure (CIF):
```
data_CsRbWCl6
_chemical_formula_sum 'Cs2 Rb2 W2 Cl12'
_cell_length_a 8.1049
_cell_length_b 8.1049
_cell_length_c 11.3522
_cell_angle_alpha 90.00
_cell_angle_beta 90.00
_cell_angle_gamma 120.00
_symmetry_space_group_name_H-M 'P -3 1 c'
_symmetry_Int_Tables_number 163
_symmetry_space_group_name_Hall '-P 3 2c'
loop_
_atom_site_label
_atom_site_fract_x
_atom_site_fract_y
_atom_site_fract_z
_atom_site_occupancy
Cs1 0.3333 0.6667 0.2500 1
Rb1 0.0000 0.0000 0.0000 1
W1 0.3333 0.6667 0.7500 1
Cl1 0.0969 0.4208 0.6271 1
```

Computed properties:
- Crystal system: trigonal
- Uncorrected formation energy: -1.34 eV/atom
- Raw total energy: -4.21 eV/atom

Entry 6:
First-principles (GGA-PBE) data for an optimized crystal structure of Cs2RbWCl6, as listed in Alexandria via LeMat-Bulk.

Structure (CIF):
```
data_Cs2RbWCl6
_chemical_formula_sum 'Cs12 Rb6 W6 Cl36'
_cell_length_a 7.5458
_cell_length_b 7.5458
_cell_length_c 46.0459
_cell_angle_alpha 90.00
_cell_angle_beta 90.00
_cell_angle_gamma 120.00
_symmetry_space_group_name_H-M 'R -3 m'
_symmetry_Int_Tables_number 166
_symmetry_space_group_name_Hall '-R 3 2"'
loop_
_atom_site_label
_atom_site_fract_x
_atom_site_fract_y
_atom_site_fract_z
_atom_site_occupancy
Cs1 0.0000 0.0000 0.1403 1
Cs2 0.0000 0.0000 0.3071 1
Rb1 0.0000 0.0000 0.4133 1
W1 0.0000 0.0000 0.0000 1
W2 0.0000 0.0000 0.5000 1
Cl1 0.0258 0.5129 0.1355 1
Cl2 0.0276 0.5138 0.6981 1
```

Computed properties:
- Crystal system: trigonal
- Uncorrected formation energy: -1.46 eV/atom
- Raw total energy: -4.14 eV/atom

Entry 7:
First-principles (GGA-PBE) data for an optimized crystal structure of Cs2RbYCl6, as listed in Alexandria via LeMat-Bulk.

Structure (CIF):
```
data_Cs2RbYCl6
_chemical_formula_sum 'Cs8 Rb4 Y4 Cl24'
_cell_length_a 11.572
_cell_length_b 11.572
_cell_length_c 11.572
_cell_angle_alpha 90.00
_cell_angle_beta 90.00
_cell_angle_gamma 90.00
_symmetry_space_group_name_H-M 'F m -3 m'
_symmetry_Int_Tables_number 225
_symmetry_space_group_name_Hall '-F 4 2 3'
loop_
_atom_site_label
_atom_site_fract_x
_atom_site_fract_y
_atom_site_fract_z
_atom_site_occupancy
Cs1 0.250 0.250 0.250 1
Rb1 0.000 0.000 0.000 1
Y1 0.000 0.000 0.500 1
Cl1 0.000 0.000 0.271 1
```

Computed properties:
- Crystal system: cubic
- Uncorrected formation energy: -2.14 eV/atom
- Raw total energy: -4.17 eV/atom

Entry 8:
First-principles (GGA-PBE) data for an optimized crystal structure of CsRbZnCl4, as listed in Alexandria via LeMat-Bulk.

Structure (CIF):
```
data_CsRbZnCl4
_chemical_formula_sum 'Cs2 Rb2 Zn2 Cl8'
_cell_length_a 7.257
_cell_length_b 7.334
_cell_length_c 9.763
_cell_angle_alpha 90.00
_cell_angle_beta 109.24
_cell_angle_gamma 90.00
_symmetry_space_group_name_H-M 'P 1 21/m 1'
_symmetry_Int_Tables_number 11
_symmetry_space_group_name_Hall '-P 2yb'
loop_
_atom_site_label
_atom_site_fract_x
_atom_site_fract_y
_atom_site_fract_z
_atom_site_occupancy
Cs1 0.195 0.250 0.418 1
Rb1 0.291 0.250 0.960 1
Zn1 0.293 0.750 0.204 1
Cl1 0.090 0.750 0.341 1
Cl2 0.130 0.750 0.960 1
Cl3 0.499 0.004 0.739 1
```

Computed properties:
- Crystal system: monoclinic
- Uncorrected formation energy: -1.69 eV/atom
- Raw total energy: -3.19 eV/atom

- Number 4 is which compound?
  Cs2RbWCl6

- Among the records above, which one has the highest uncorrected formation energy?
  CsRbWCl6